1.
# HgAuCl2

A relaxed HgAuCl2 crystal (PBE, the Alexandria database).

Calculated values
D(E_F) ... 0.2244 states/eV per atom
Uncorrected energy ... -8.2 eV per cell
Crystal system ... orthorhombic
Excess energy over the best structure of this formula in the dataset ... 0.0208 eV/atom
Symmetry ... Imm2, No. 44
E_form (uncorrected) ... -0.222 eV/atom
Spin magnetization ... 0.00 μB per formula unit

a b c (Å): 6.0976 6.0976 6.0976
angles (deg): 146.06 104.52 85.39
Fractional positions:
Au 0.2582 0.7582 0.5000
Hg 0.4857 0.4857 0.0000
Cl 0.0621 0.0621 0.0000
Cl 0.6941 0.1941 0.5000

=====

2.
# RbSeBr3

A relaxed RbSeBr3 crystal (PBE, the Alexandria database).

Calculated values
D(E_F) ... 0.0000 states/eV per atom
Uncorrected energy ... -26.6 eV per cell
Crystal system ... triclinic
Symmetry ... P1, No. 1
E_form (uncorrected) ... -0.769 eV/atom
Spin magnetization ... 0.00 μB per formula unit

a b c (Å): 7.6692 8.0274 8.9409
angles (deg): 122.74 58.09 114.67
Fractional positions:
Rb 0.1156 0.6334 0.1489
Rb 0.6795 0.1865 0.6106
Br 0.0671 0.1606 0.1378
Br 0.5985 0.6694 0.7429
Br 0.7085 0.2099 0.0202
Br 0.5133 0.7061 0.2938
Br 0.2153 0.1230 0.5201
Br 0.0328 0.6086 0.7834
Se 0.1795 0.8565 0.6021
Se 0.8429 0.9213 0.9274

=====

3.
# Na3In4

A relaxed Na3In4 crystal (PBE, the Alexandria database).

Calculated values
D(E_F) ... 0.5291 states/eV per atom
Uncorrected energy ... -15.5 eV per cell
Crystal system ... orthorhombic
Symmetry ... Immm, No. 71
Spin magnetization ... 0.00 μB per formula unit

a b c (Å): 3.3679 4.7939 11.9287
angles (deg): 101.59 98.12 90.00
Fractional positions:
Na 0.8571 0.3571 0.7141
Na 0.0000 0.5000 0.0000
Na 0.1429 0.6429 0.2859
In 0.7151 0.2151 0.4303
In 0.2849 0.7849 0.5697
In 0.4277 0.9277 0.8554
In 0.5723 0.0723 0.1446

=====

4.
# LaY2Ni

A relaxed LaY2Ni crystal (PBE, the Alexandria database).

Calculated values
D(E_F) ... 1.1882 states/eV per atom
Uncorrected energy ... -22.8 eV per cell
Crystal system ... orthorhombic
Excess energy over the best structure of this formula in the dataset ... 0.4184 eV/atom
Symmetry ... Cmmm, No. 65
Spin magnetization ... 0.00 μB per formula unit

a b c (Å): 5.2782 5.2782 3.7631
angles (deg): 90.00 90.00 95.93
Fractional positions:
La 0.5000 0.0000 0.5000
Ni 0.0000 0.5000 0.5000
Y 0.0000 0.0000 0.0000
Y 0.5000 0.5000 0.0000

=====

5.
# Cs2Tm2USe6

A relaxed Cs2Tm2USe6 crystal (PBE, the Alexandria database).

Calculated values
D(E_F) ... 0.6652 states/eV per atom
Uncorrected energy ... -60.3 eV per cell
Crystal system ... monoclinic
Symmetry ... C2/m, No. 12
E_form (uncorrected) ... -1.589 eV/atom
Spin magnetization ... 2.00 μB per formula unit

a b c (Å): 7.2004 7.2004 8.9245
angles (deg): 97.84 97.84 120.03
Last column: magnetic moment on the atom in μB.
Fractional positions:
Cs 0.8325 0.1675 0.0000  0.00
Cs 0.1675 0.8325 0.0000  0.00
Tm 0.3332 0.6668 0.5000  0.01
Tm 0.6668 0.3332 0.5000  0.01
U 0.0000 0.0000 0.5000  2.10
Se 0.7277 0.7277 0.6805  -0.03
Se 0.0613 0.3940 0.6808  -0.03
Se 0.2723 0.2723 0.3195  -0.03
Se 0.3940 0.0613 0.6808  -0.03
Se 0.9387 0.6060 0.3192  -0.03
Se 0.6060 0.9387 0.3192  -0.03

=====

6.
# LaMgP2S

A relaxed LaMgP2S crystal (PBE, the Alexandria database).

Calculated values
D(E_F) ... 0.8351 states/eV per atom
Uncorrected energy ... -23.6 eV per cell
Crystal system ... tetragonal
Excess energy over the best structure of this formula in the dataset ... 0.0000 eV/atom
Symmetry ... P4/mmm, No. 123
E_form (uncorrected) ... -0.434 eV/atom
Spin magnetization ... 0.00 μB per formula unit

a b c (Å): 4.7700 4.7700 4.8648
angles (deg): 90.00 90.00 90.00
Fractional positions:
P 0.0000 0.5000 0.0000
P 0.5000 0.0000 0.0000
S 0.0000 0.0000 0.5000
Mg 0.0000 0.0000 0.0000
La 0.5000 0.5000 0.5000

=====

7.
# RbTl3Bi3

A relaxed RbTl3Bi3 crystal (PBE, the Alexandria database).

Calculated values
D(E_F) ... 0.6087 states/eV per atom
Uncorrected energy ... -39.9 eV per cell
Crystal system ... trigonal
Excess energy over the best structure of this formula in the dataset ... 0.0000 eV/atom
Symmetry ... R-3, No. 148
Spin magnetization ... 0.00 μB per formula unit

a b c (Å): 8.6548 8.6548 9.5314
angles (deg): 63.00 63.00 60.00
Fractional positions:
Rb 0.3396 0.3396 0.9810
Rb 0.6604 0.6604 0.0190
Tl 0.5680 0.7327 0.6198
Tl 0.7327 0.0796 0.6198
Tl 0.0796 0.5680 0.6198
Tl 0.9204 0.4320 0.3802
Tl 0.2673 0.9204 0.3802
Tl 0.4320 0.2673 0.3802
Bi 0.1497 0.7179 0.2207
Bi 0.9117 0.1497 0.2207
Bi 0.7179 0.9117 0.2207
Bi 0.2821 0.0883 0.7793
Bi 0.0883 0.8503 0.7793
Bi 0.8503 0.2821 0.7793

=====

8.
# KTiAl

A relaxed KTiAl crystal (PBE, the Alexandria database).

Calculated values
D(E_F) ... 1.4065 states/eV per atom
Uncorrected energy ... -9.4 eV per cell
Crystal system ... cubic
Excess energy over the best structure of this formula in the dataset ... 1.0486 eV/atom
Symmetry ... F-43m, No. 216
Spin magnetization ... 1.01 μB per formula unit

a b c (Å): 5.0527 5.0527 5.0527
angles (deg): 60.00 60.00 60.00
Last column: magnetic moment on the atom in μB.
Fractional positions:
K 0.2500 0.2500 0.2500  0.00
Al 0.0000 0.0000 0.0000  0.02
Ti 0.7500 0.7500 0.7500  -0.79